# 1
A plane-wave DFT calculation with SCAN was carried out for a PBEsol-optimized structure of ErAlFe.

abc: 5.2646 5.2845 8.3762
angles: 90.00 90.00 119.88
Element x y z (fractional)
Fe  0.1697  0.8412  0.0000
Fe  0.9907  0.9815  0.2363
Fe  0.6715  0.8412  0.0000
Fe  0.9907  0.9815  0.7637
Er  0.3384  0.6767  0.2987
Er  0.6680  0.3361  0.8159
Er  0.6680  0.3361  0.1841
Er  0.3384  0.6767  0.7013
Al  0.8384  0.1644  0.5000
Al  0.3260  0.1644  0.5000
Al  0.1641  0.3282  0.0000
Al  0.8359  0.6717  0.5000

Results
For the magnetic moment, the calculation gives 1.77 μB/f.u. The space group is Amm2. Its energy of formation from the pure elements is -323.2 meV/atom.

# 2
A plane-wave DFT calculation with SCAN was carried out for a PBEsol-optimized structure of ErAl6Fe6.

abc: 4.9136 6.4533 6.4533
angles: 80.87 67.62 67.62
Element x y z (fractional)
Fe  0.5000  0.7603  0.2397
Fe  0.5000  0.5000  0.0000
Fe  0.5000  0.0000  0.5000
Fe  0.0000  0.5000  0.0000
Fe  0.0000  0.0000  0.5000
Fe  0.5000  0.2397  0.7603
Er  0.0000  0.0000  0.0000
Al  0.6900  0.8100  0.8100
Al  0.3458  0.6542  0.6542
Al  0.3100  0.1900  0.1900
Al  0.6542  0.3458  0.3458
Al  0.0000  0.3364  0.6636
Al  0.0000  0.6636  0.3364

Results
For the magnetic moment, the calculation gives 11.19 μB/f.u. The space group is Immm. Its energy of formation from the pure elements is -439.3 meV/atom.

# 3
A plane-wave DFT calculation with SCAN was carried out for a PBEsol-optimized structure of ErAl9Fe4Si6.

abc: 8.5755 8.5755 15.0286
angles: 90.00 90.00 90.00
Element x y z (fractional)
Fe  0.7448  0.7448  0.5000
Fe  0.7448  0.2552  0.5000
Fe  0.2552  0.7448  0.5000
Fe  0.0000  0.2782  0.7500
Fe  0.0000  0.7218  0.7500
Fe  0.2448  0.2448  0.0000
Fe  0.7782  0.5000  0.2500
Fe  0.7552  0.2448  0.0000
Fe  0.7218  0.0000  0.2500
Fe  0.7552  0.7552  0.0000
Fe  0.5000  0.7782  0.7500
Fe  0.2448  0.7552  0.0000
Fe  0.2218  0.5000  0.2500
Fe  0.2552  0.2552  0.5000
Fe  0.2782  0.0000  0.2500
Fe  0.5000  0.2218  0.7500
Al  0.2536  0.7038  0.6689
Al  0.1831  0.5000  0.4110
Al  0.7038  0.2536  0.3311
Al  0.0000  0.1562  0.6020
Al  0.7038  0.7464  0.3311
Al  0.0000  0.0000  0.2272
Al  0.7536  0.7962  0.8311
Al  0.3438  0.5000  0.1020
Al  0.1562  0.0000  0.3980
Al  0.7536  0.2038  0.8311
Al  0.7962  0.2464  0.1689
Al  0.2464  0.2038  0.8311
Al  0.3169  0.0000  0.0890
Al  0.0000  0.8438  0.6020
Al  0.2962  0.2536  0.3311
Al  0.6562  0.5000  0.1020
Al  0.5000  0.3438  0.8980
Al  0.5000  0.5000  0.7272
Al  0.7962  0.7536  0.1689
Al  0.2962  0.7464  0.3311
Al  0.8438  0.0000  0.3980
Al  0.8169  0.5000  0.4110
Al  0.5000  0.1831  0.5890
Al  0.2038  0.7536  0.1689
Al  0.0000  0.6831  0.9110
Al  0.6831  0.0000  0.0890
Al  0.0000  0.3169  0.9110
Al  0.5000  0.5000  0.2728
Al  0.2536  0.2962  0.6689
Al  0.2464  0.7962  0.8311
Al  0.0000  0.0000  0.7728
Al  0.7464  0.7038  0.6689
Al  0.7464  0.2962  0.6689
Al  0.5000  0.6562  0.8980
Al  0.2038  0.2464  0.1689
Al  0.5000  0.8169  0.5890
Si  0.0000  0.7384  0.4389
Si  0.6384  0.0000  0.7210
Si  0.5000  0.1384  0.2210
Si  0.0000  0.6384  0.2790
Si  0.7616  0.5000  0.9389
Si  0.1574  0.0000  0.9434
Si  0.8616  0.5000  0.7790
Si  0.0000  0.8426  0.0566
Si  0.5000  0.8616  0.2210
Si  0.5000  0.2384  0.0611
Si  0.5000  0.7616  0.0611
Si  0.5000  0.6574  0.4434
Si  0.5000  0.3426  0.4434
Si  0.8426  0.0000  0.9434
Si  0.0000  0.3616  0.2790
Si  0.1384  0.5000  0.7790
Si  0.0000  0.2616  0.4389
Si  0.6574  0.5000  0.5566
Si  0.3426  0.5000  0.5566
Si  0.0000  0.1574  0.0566
Si  0.3616  0.0000  0.7210
Si  0.2384  0.5000  0.9389
Si  0.7384  0.0000  0.5611
Si  0.2616  0.0000  0.5611
Er  0.5000  0.0000  0.4138
Er  0.0000  0.5000  0.0862
Er  0.5000  0.0000  0.9138
Er  0.0000  0.5000  0.5862

Results
For the uncorrected formation energy, the calculation gives -341 meV per atom. For the magnetic moment, the calculation gives 0.00 μB/f.u. The space group is P4_2/nmc.

# 4
A plane-wave DFT calculation with SCAN was carried out for a PBEsol-optimized structure of GdErAl6.

abc: 6.0884 6.0884 14.5073
angles: 77.89 77.89 60.00
Element x y z (fractional)
Al  0.1268  0.1268  0.1692
Al  0.9984  0.4987  0.5046
Al  0.9200  0.3705  0.3390
Al  0.4985  0.9996  0.0035
Al  0.8701  0.4207  0.8391
Al  0.0774  0.6261  0.6704
Al  0.1268  0.5773  0.1692
Al  0.4985  0.4985  0.0035
Al  0.3705  0.9200  0.3390
Al  0.6261  0.6261  0.6704
Al  0.4987  0.9984  0.5046
Al  0.9984  0.9984  0.5046
Al  0.6261  0.0774  0.6704
Al  0.9996  0.4985  0.0035
Al  0.3705  0.3705  0.3390
Al  0.8701  0.8701  0.8391
Al  0.5773  0.1268  0.1692
Al  0.4207  0.8701  0.8391
Gd  0.8891  0.8891  0.3326
Gd  0.1078  0.1078  0.6765
Gd  0.6082  0.6082  0.1753
Er  0.4985  0.4985  0.5044
Er  0.9987  0.9987  0.0039
Er  0.3891  0.3891  0.8328

Results
For the magnetic moment, the calculation gives 2.39 μB/f.u. The space group is R3m. Its energy of formation from the pure elements is -437.2 meV/atom.